This record from the Alexandria database describes a relaxed SrLi2Sc crystal. The functional is PBE.

The structure in POSCAR format:
```
SrLi2Sc
1.0
4.628 0.000 0.000
0.000 4.628 0.000
0.000 0.000 10.856
Sr Li Sc
2 4 2
Direct
0.000 0.000 0.000
0.500 0.500 0.500
0.000 0.000 0.500
0.000 0.500 0.750
0.500 0.000 0.250
0.500 0.500 0.000
0.000 0.500 0.250
0.500 0.000 0.750
```

Summary:
polymorph energy (0 for the lowest one): 0.1281 eV/atom
size of the total moment: 1.02 μB per formula unit
energy of formation from the pure elements: 321 meV/atom